# 1
This record from Alexandria describes crystalline Nd3YPb2 at its relaxed geometry. The functional is GGA-PBE.

Results
Total energy, eV/atom: -5.100
DOS at the Fermi energy, states/eV/cell: 13.854
Energy relative to the elements, eV/atom: -0.402
Spin magnetization, μB per cell: 0.00
Calculated density, g/cm3: 8.349

abc: 5.0116 16.4185 4.5248
angles: 90.00 90.00 90.00
Last column: nearest neighbours and their distance in Å.
Fractional positions:
Nd 0.0000 0.0000 0.0000  4 Pb 3.33, 4 Y 3.38
Nd 0.0000 0.3232 0.0000  6 Pb 3.41-3.65, 2 Nd 3.47, 2 Y 3.68
Nd 0.0000 0.6768 0.0000  6 Pb 3.41-3.65, 2 Nd 3.47, 2 Y 3.68
Nd 0.5000 0.1768 0.0000  6 Pb 3.41-3.65, 2 Nd 3.47, 2 Y 3.68
Nd 0.5000 0.5000 0.0000  4 Pb 3.33, 4 Y 3.38
Nd 0.5000 0.8232 0.0000  6 Pb 3.41-3.65, 2 Nd 3.47, 2 Y 3.68
Y 0.0000 0.5000 0.5000  8 Nd 3.38-3.68, 4 Pb 3.50
Y 0.5000 0.0000 0.5000  8 Nd 3.38-3.68, 4 Pb 3.50
Pb 0.0000 0.1489 0.5000  8 Nd 3.33-3.65, 2 Y 3.50
Pb 0.0000 0.8511 0.5000  8 Nd 3.33-3.65, 2 Y 3.50
Pb 0.5000 0.3511 0.5000  8 Nd 3.33-3.65, 2 Y 3.50
Pb 0.5000 0.6489 0.5000  8 Nd 3.33-3.65, 2 Y 3.50

---

# 2
This record from Alexandria describes crystalline LiPmThPd at its relaxed geometry. The functional is GGA-PBE.

Results
Total energy, eV/atom: -5.025
DOS at the Fermi energy, states/eV/cell: 23.703
Energy relative to the elements, eV/atom: -0.206
Spin magnetization, μB per cell: 0.01
Calculated density, g/cm3: 8.389

abc: 7.2955 7.2955 7.2955
angles: 90.00 90.00 90.00
Last column: nearest neighbours and their distance in Å.
Fractional positions:
Li 0.0000 0.0000 0.0000  4 Th 3.16, 4 Pm 3.16
Li 0.0000 0.5000 0.5000  4 Th 3.16, 4 Pm 3.16
Li 0.5000 0.0000 0.5000  4 Th 3.16, 4 Pm 3.16
Li 0.5000 0.5000 0.0000  4 Th 3.16, 4 Pm 3.16
Pm 0.2500 0.2500 0.2500  4 Li 3.16, 4 Pd 3.16
Pm 0.2500 0.7500 0.7500  4 Li 3.16, 4 Pd 3.16
Pm 0.7500 0.2500 0.7500  4 Li 3.16, 4 Pd 3.16
Pm 0.7500 0.7500 0.2500  4 Li 3.16, 4 Pd 3.16
Th 0.2500 0.2500 0.7500  4 Pd 3.16, 4 Li 3.16
Th 0.2500 0.7500 0.2500  4 Pd 3.16, 4 Li 3.16
Th 0.7500 0.2500 0.2500  4 Pd 3.16, 4 Li 3.16
Th 0.7500 0.7500 0.7500  4 Li 3.16, 4 Pd 3.16
Pd 0.0000 0.0000 0.5000  4 Pm 3.16, 4 Th 3.16
Pd 0.0000 0.5000 0.0000  4 Pm 3.16, 4 Th 3.16
Pd 0.5000 0.0000 0.0000  4 Pm 3.16, 4 Th 3.16
Pd 0.5000 0.5000 0.5000  4 Pm 3.16, 4 Th 3.16

---

# 3
This record from Alexandria describes crystalline Al2SbCl at its relaxed geometry. The functional is GGA-PBE.

Results
Energy relative to the elements, uncorrected, eV/atom: 0.099
Total energy, eV/atom: -3.264
DOS at the Fermi energy, states/eV/cell: 3.714
Spin magnetization, μB per cell: 0.00
Calculated density, g/cm3: 3.914

abc: 3.1843 4.9562 11.3527
angles: 90.00 90.00 90.00
Last column: nearest neighbours and their distance in Å.
Fractional positions:
Al 0.0000 0.0000 0.2252  6 Al 3.00-3.18, 2 Sb 3.01
Al 0.0000 0.0000 0.7748  6 Al 3.00-3.18, 2 Sb 3.01
Al 0.5000 0.5000 0.2748  6 Al 3.00-3.18, 2 Sb 3.01
Al 0.5000 0.5000 0.7252  6 Al 3.00-3.18, 2 Sb 3.01
Sb 0.0000 0.5000 0.5000  4 Cl 2.95, 4 Al 3.01, 2 Sb 3.18
Sb 0.5000 0.0000 0.0000  4 Cl 2.95, 4 Al 3.01, 2 Sb 3.18
Cl 0.0000 0.5000 0.0000  4 Sb 2.95, 2 Cl 3.18
Cl 0.5000 0.0000 0.5000  4 Sb 2.95, 2 Cl 3.18

---

# 4
This record from Alexandria describes crystalline KBeIr2 at its relaxed geometry. The functional is GGA-PBE.

Results
Total energy, eV/atom: -5.197
DOS at the Fermi energy, states/eV/cell: 4.412
Energy relative to the elements, eV/atom: 0.440
Spin magnetization, μB per cell: 0.00
Calculated density, g/cm3: 11.374

abc: 2.7037 4.9430 9.4500
angles: 90.00 90.00 90.00
Last column: nearest neighbours and their distance in Å.
Fractional positions:
K 0.0000 0.0000 0.0000  2 K 2.70, 4 Be 2.82
K 0.5000 0.5000 0.5000  2 K 2.70, 4 Be 2.82
Be 0.0000 0.0000 0.5000  4 Ir 2.38
Be 0.5000 0.5000 0.0000  4 Ir 2.38
Ir 0.0000 0.5000 0.2074  2 Be 2.38
Ir 0.0000 0.5000 0.7926  2 Be 2.38
Ir 0.5000 0.0000 0.2926  2 Be 2.38
Ir 0.5000 0.0000 0.7074  2 Be 2.38

---

# 5
This record from Alexandria describes crystalline AgHPt2Rh at its relaxed geometry. The functional is GGA-PBE.

Results
Total energy, eV/atom: -5.025
DOS at the Fermi energy, states/eV/cell: 4.100
Spin magnetization, μB per cell: 0.00
Calculated density, g/cm3: 15.222

abc: 4.0481 4.0481 4.0071
angles: 90.00 90.00 90.00
Last column: nearest neighbours and their distance in Å.
Fractional positions:
Ag 0.0000 0.0000 0.0000  8 Pt 2.85, 4 Rh 2.86
H 0.5000 0.5000 0.5000  2 Rh 2.00, 4 Pt 2.02
Pt 0.0000 0.5000 0.5000  2 H 2.02
Pt 0.5000 0.0000 0.5000  2 H 2.02
Rh 0.5000 0.5000 0.0000  2 H 2.00

---

# 6
This record from Alexandria describes crystalline TlCoTe2N at its relaxed geometry. The functional is GGA-PBE.

Results
Energy relative to the elements, uncorrected, eV/atom: 0.229
Total energy, eV/atom: -4.587
DOS at the Fermi energy, states/eV/cell: 3.360
Spin magnetization, μB per cell: 0.00
Calculated density, g/cm3: 7.969

abc: 5.7045 5.7045 3.4099
angles: 90.00 90.00 90.00
Last column: nearest neighbours and their distance in Å.
Fractional positions:
Tl 0.0000 0.0000 0.0000  8 Te 3.32, 2 Tl 3.41
Co 0.5000 0.5000 0.5000  2 N 1.70
Te 0.0000 0.5000 0.5000  2 Co 2.85
Te 0.5000 0.0000 0.5000  2 Co 2.85
N 0.5000 0.5000 0.0000  2 Co 1.70

---

# 7
This record from Alexandria describes crystalline PaRh4Se8 at its relaxed geometry. The functional is GGA-PBE.

Results
Energy relative to the elements, uncorrected, eV/atom: -0.607
Total energy, eV/atom: -5.744
DOS at the Fermi energy, states/eV/cell: 5.314
Spin magnetization, μB per cell: 1.02
Calculated density, g/cm3: 7.308

abc: 7.2247 7.2247 7.2247
angles: 63.90 63.90 63.90
Last column: nearest neighbours and their distance in Å.
Fractional positions:
Pa 0.0000 0.0000 0.0000  6 Se 2.76
Rh 0.0000 0.0000 0.5000  6 Se 2.54-2.56
Rh 0.0000 0.5000 0.0000  6 Se 2.54-2.56
Rh 0.5000 0.0000 0.0000  6 Se 2.54-2.56
Rh 0.5000 0.5000 0.5000  6 Se 2.50
Se 0.2425 0.2425 0.2425  3 Rh 2.56
Se 0.2421 0.7364 0.7364  3 Rh 2.50-2.54, 1 Pa 2.76
Se 0.2636 0.2636 0.7579  3 Rh 2.50-2.54, 1 Pa 2.76
Se 0.2636 0.7579 0.2636  3 Rh 2.50-2.54, 1 Pa 2.76
Se 0.7364 0.2421 0.7364  3 Rh 2.50-2.54, 1 Pa 2.76
Se 0.7364 0.7364 0.2421  3 Rh 2.50-2.54, 1 Pa 2.76
Se 0.7579 0.2636 0.2636  3 Rh 2.50-2.54, 1 Pa 2.76
Se 0.7575 0.7575 0.7575  3 Rh 2.56

---

# 8
This record from Alexandria describes crystalline Sc2TeAs at its relaxed geometry. The functional is GGA-PBE.

Results
Energy relative to the elements, uncorrected, eV/atom: -0.793
Total energy, eV/atom: -5.906
DOS at the Fermi energy, states/eV/cell: 6.605
Spin magnetization, μB per cell: 0.00
Calculated density, g/cm3: 5.544

abc: 4.0629 4.0629 10.6127
angles: 90.00 90.00 90.00
Last column: nearest neighbours and their distance in Å.
Fractional positions:
Sc 0.0000 0.0000 0.0000  4 As 2.87
Sc 0.0000 0.5000 0.2500  4 Te 2.87
Sc 0.5000 0.0000 0.7500  4 Te 2.87
Sc 0.5000 0.5000 0.5000  4 As 2.87
Te 0.0000 0.5000 0.7500  4 Sc 2.87
Te 0.5000 0.0000 0.2500  4 Sc 2.87
As 0.0000 0.0000 0.5000  4 Sc 2.87
As 0.5000 0.5000 0.0000  4 Sc 2.87

---

# 9
This record from Alexandria describes crystalline CoPtRh2 at its relaxed geometry. The functional is GGA-PBE.

Results
Total energy, eV/atom: -6.971
DOS at the Fermi energy, states/eV/cell: 5.715
Energy relative to the elements, eV/atom: -0.009
Spin magnetization, μB per cell: 1.80
Calculated density, g/cm3: 13.811

abc: 2.7132 2.7132 7.5101
angles: 90.00 90.00 90.00
Last column: nearest neighbours and their distance in Å.
Fractional positions:
Co 0.0000 0.0000 0.0000  4 Rh 2.60, 4 Pt 2.65, 4 Co 2.71
Pt 0.5000 0.5000 0.2427  4 Co 2.65, 4 Pt 2.71, 4 Rh 2.79
Rh 0.0000 0.0000 0.5133  8 Rh 2.70-2.71, 4 Pt 2.79
Rh 0.5000 0.5000 0.7664  4 Co 2.60, 8 Rh 2.70-2.71

---

# 10
This record from Alexandria describes crystalline BaNbW2 at its relaxed geometry. The functional is GGA-PBE.

Results
Total energy, eV/atom: -7.894
DOS at the Fermi energy, states/eV/cell: 21.595
Energy relative to the elements, eV/atom: 1.581
Spin magnetization, μB per cell: 0.00
Calculated density, g/cm3: 8.344

abc: 5.1237 5.1237 18.1309
angles: 90.00 90.00 90.00
Last column: nearest neighbours and their distance in Å.
Fractional positions:
Ba 0.0000 0.2500 0.3750  4 Nb 3.62, 8 W 3.65
Ba 0.0000 0.7500 0.6250  4 Nb 3.62, 8 W 3.65
Ba 0.5000 0.2500 0.1250  4 Nb 3.62, 8 W 3.65
Ba 0.5000 0.7500 0.8750  4 Nb 3.62, 8 W 3.65
Nb 0.0000 0.2500 0.8750  4 W 2.60
Nb 0.0000 0.7500 0.1250  4 W 2.60
Nb 0.5000 0.2500 0.6250  4 W 2.60
Nb 0.5000 0.7500 0.3750  4 W 2.60
W 0.0000 0.0000 0.0000  2 W 2.56, 2 Nb 2.60
W 0.0000 0.5000 0.0000  2 W 2.56, 2 Nb 2.60
W 0.2500 0.2500 0.7500  2 W 2.56, 2 Nb 2.60
W 0.2500 0.7500 0.2500  2 W 2.56, 2 Nb 2.60
W 0.5000 0.0000 0.5000  2 W 2.56, 2 Nb 2.60
W 0.5000 0.5000 0.5000  2 W 2.56, 2 Nb 2.60
W 0.7500 0.2500 0.7500  2 W 2.56, 2 Nb 2.60
W 0.7500 0.7500 0.2500  2 W 2.56, 2 Nb 2.60

---

# 11
This record from Alexandria describes crystalline Ba3CdIn2Au6 at its relaxed geometry. The functional is GGA-PBE.

Results
Total energy, eV/atom: -3.133
DOS at the Fermi energy, states/eV/cell: 4.879
Energy relative to the elements, eV/atom: -0.481
Spin magnetization, μB per cell: 0.00
Calculated density, g/cm3: 9.114

abc: 6.7451 6.7451 8.9515
angles: 90.00 90.00 120.00
Last column: nearest neighbours and their distance in Å.
Fractional positions:
Ba 0.0000 0.0000 0.0000  6 Au 3.40
Ba 0.3333 0.6667 0.6330  9 Au 3.44-3.50, 1 In 3.64
Ba 0.6667 0.3333 0.3670  9 Au 3.44-3.50, 1 In 3.64
Cd 0.0000 0.0000 0.5000  6 Au 2.84
In 0.3333 0.6667 0.0393  3 Au 2.86
In 0.6667 0.3333 0.9607  3 Au 2.86
Au 0.1844 0.3687 0.2935  1 Cd 2.84, 1 In 2.86, 2 Au 3.01
Au 0.1844 0.8156 0.2935  1 Cd 2.84, 1 In 2.86, 2 Au 3.01
Au 0.3687 0.1844 0.7065  1 Cd 2.84, 1 In 2.86, 2 Au 3.01
Au 0.6313 0.8156 0.2935  1 Cd 2.84, 1 In 2.86, 2 Au 3.01
Au 0.8156 0.1844 0.7065  1 Cd 2.84, 1 In 2.86, 2 Au 3.01
Au 0.8156 0.6313 0.7065  1 Cd 2.84, 1 In 2.86, 2 Au 3.01

---

# 12
This record from Alexandria describes crystalline CaSmDy2 at its relaxed geometry. The functional is GGA-PBE.

Results
Total energy, eV/atom: -3.920
DOS at the Fermi energy, states/eV/cell: 17.863
Energy relative to the elements, eV/atom: 0.061
Spin magnetization, μB per cell: 0.00
Calculated density, g/cm3: 6.286

abc: 3.6148 3.6148 36.0994
angles: 90.00 90.00 120.00
Last column: nearest neighbours and their distance in Å.
Fractional positions:
Ca 0.0000 0.0000 0.0000  6 Ca 3.61, 6 Dy 3.77-3.80
Ca 0.3333 0.6667 0.6667  6 Ca 3.61, 6 Dy 3.77-3.80
Ca 0.6667 0.3333 0.3333  6 Ca 3.61, 6 Dy 3.77-3.80
Sm 0.0000 0.0000 0.8343  6 Dy 3.53-3.55, 6 Sm 3.61
Sm 0.3333 0.6667 0.5010  6 Dy 3.53-3.55, 6 Sm 3.61
Sm 0.6667 0.3333 0.1676  6 Dy 3.53-3.55, 6 Sm 3.61
Dy 0.0000 0.0000 0.2465  3 Sm 3.53, 6 Dy 3.61, 3 Ca 3.77
Dy 0.0000 0.0000 0.4213  3 Sm 3.55, 6 Dy 3.61, 3 Ca 3.80
Dy 0.3333 0.6667 0.0880  3 Sm 3.55, 6 Dy 3.61, 3 Ca 3.80
Dy 0.3333 0.6667 0.9131  3 Sm 3.53, 6 Dy 3.61, 3 Ca 3.77
Dy 0.6667 0.3333 0.5798  3 Sm 3.53, 6 Dy 3.61, 3 Ca 3.77
Dy 0.6667 0.3333 0.7547  3 Sm 3.55, 6 Dy 3.61, 3 Ca 3.80

---

- What is the DOS at the Fermi energy in the sixth record?
  3.360 states/eV/cell